The following is a DFT calculation (PBEsol) of an optimized crystal structure of YTiO3.

```
data_YTiO3
_chemical_formula_sum 'Y1 Ti1 O3'
_cell_length_a 3.846
_cell_length_b 3.846
_cell_length_c 3.846
_cell_angle_alpha 90.00
_cell_angle_beta 90.00
_cell_angle_gamma 90.00
_symmetry_space_group_name_H-M 'P m -3 m'
_symmetry_Int_Tables_number 221
_symmetry_space_group_name_Hall '-P 4 2 3'
loop_
_atom_site_label
_atom_site_fract_x
_atom_site_fract_y
_atom_site_fract_z
Y1 0.000 0.000 0.000
Ti1 0.500 0.500 0.500
O1 0.000 0.500 0.500
```

Total DFT energy (no corrections) ... -46.04 eV per cell

***

The following is a DFT calculation (PBEsol) of an optimized crystal structure of YTiO3.

```
data_YTiO3
_chemical_formula_sum 'Y4 Ti4 O12'
_cell_length_a 5.653
_cell_length_b 7.583
_cell_length_c 5.269
_cell_angle_alpha 90.00
_cell_angle_beta 90.00
_cell_angle_gamma 90.00
_symmetry_space_group_name_H-M 'P n m a'
_symmetry_Int_Tables_number 62
loop_
_symmetry_equiv_pos_as_xyz
'x,y,z'
'-x,-y,-z'
'-x+1/2,-y,z+1/2'
'x+1/2,y,-z+1/2'
'x+1/2,-y+1/2,-z+1/2'
'-x+1/2,y+1/2,z+1/2'
'-x,y+1/2,-z'
'x,-y+1/2,z'
loop_
_atom_site_label
_atom_site_fract_x
_atom_site_fract_y
_atom_site_fract_z
Y1 0.073 0.250 0.022
Ti1 0.000 0.000 0.500
O1 0.046 0.750 0.378
O2 0.198 0.558 0.810
```

Total DFT energy (no corrections) ... -189.10 eV per cell

***

The following is a DFT calculation (PBEsol) of an optimized crystal structure of YTiO3.

```
data_YTiO3
_chemical_formula_sum 'Y2 Ti2 O6'
_cell_length_a 3.4809
_cell_length_b 3.4809
_cell_length_c 11.9231
_cell_angle_alpha 90.00
_cell_angle_beta 90.00
_cell_angle_gamma 120.00
_symmetry_space_group_name_H-M 'P 63/m m c'
_symmetry_Int_Tables_number 194
_symmetry_space_group_name_Hall '-P 6c 2c'
loop_
_atom_site_label
_atom_site_fract_x
_atom_site_fract_y
_atom_site_fract_z
Y1 0.0000 0.0000 0.0000
Ti1 0.3333 0.6667 0.2500
O1 0.0000 0.0000 0.2500
O2 0.3333 0.6667 0.0848
```

Total DFT energy (no corrections) ... -94.20 eV per cell

***

The following is a DFT calculation (PBEsol) of an optimized crystal structure of YTiO3.

```
data_YTiO3
_chemical_formula_sum 'Y6 Ti6 O18'
_cell_length_a 5.9990
_cell_length_b 5.9990
_cell_length_c 11.8583
_cell_angle_alpha 90.00
_cell_angle_beta 90.00
_cell_angle_gamma 120.00
_symmetry_space_group_name_H-M 'P 63 c m'
_symmetry_Int_Tables_number 185
_symmetry_space_group_name_Hall 'P 6c -2'
loop_
_atom_site_label
_atom_site_fract_x
_atom_site_fract_y
_atom_site_fract_z
Y1 0.0000 0.0000 0.0000
Y2 0.3333 0.6667 0.0502
Ti1 0.0000 0.3342 0.2793
O1 0.0000 0.0000 0.3051
O2 0.0000 0.3019 0.1149
O3 0.0000 0.3636 0.4431
O4 0.3333 0.6667 0.2588
```

Total DFT energy (no corrections) ... -283.49 eV per cell

***

The following is a DFT calculation (PBEsol) of an optimized crystal structure of TiZnO3.

```
data_TiZnO3
_chemical_formula_sum 'Ti2 Zn2 O6'
_cell_length_a 5.446
_cell_length_b 5.487
_cell_length_c 5.725
_cell_angle_alpha 65.57
_cell_angle_beta 68.06
_cell_angle_gamma 70.62
_symmetry_space_group_name_H-M 'P -1'
_symmetry_Int_Tables_number 2
loop_
_symmetry_equiv_pos_as_xyz
'x,y,z'
'-x,-y,-z'
loop_
_atom_site_label
_atom_site_fract_x
_atom_site_fract_y
_atom_site_fract_z
Ti1 0.092 0.249 0.418
Zn1 0.419 0.555 0.755
O1 0.156 0.896 0.648
O2 0.228 0.455 0.543
O3 0.345 0.302 0.109
```

Total DFT energy (no corrections) ... -74.24 eV per cell

***

The following is a DFT calculation (PBEsol) of an optimized crystal structure of TiZn3O.

```
data_TiZn3O
_chemical_formula_sum 'Ti1 Zn3 O1'
_cell_length_a 4.992
_cell_length_b 4.992
_cell_length_c 4.992
_cell_angle_alpha 90.00
_cell_angle_beta 90.00
_cell_angle_gamma 90.00
_symmetry_space_group_name_H-M 'P m -3 m'
_symmetry_Int_Tables_number 221
_symmetry_space_group_name_Hall '-P 4 2 3'
loop_
_atom_site_label
_atom_site_fract_x
_atom_site_fract_y
_atom_site_fract_z
Ti1 0.000 0.000 0.000
Zn1 0.000 0.000 0.500
O1 0.500 0.500 0.500
```

Total DFT energy (no corrections) ... -11.32 eV per cell

***

Looking at D(E_F) for the records above, in order, we have 1.8 6.9 4.5 10.2 0.0 5.0 states/eV/cell.